[1]
# La6Tl2CoCl GGA-PBE optimized geometry
data_La6Tl2CoCl
_cell_length_a 7.782
_cell_length_b 7.782
_cell_length_c 7.782
_cell_angle_alpha 60.00
_cell_angle_beta 60.00
_cell_angle_gamma 60.00
_space_group_name_H-M_alt 'P 1'
_space_group_IT_number 1
loop_
_space_group_symop_operation_xyz
'x,y,z'
loop_
_atom_site_label
_atom_site_fract_x
_atom_site_fract_y
_atom_site_fract_z
La1 0.243 0.243 0.757
La2 0.243 0.757 0.243
La3 0.243 0.757 0.757
La4 0.757 0.243 0.243
La5 0.757 0.243 0.757
La6 0.757 0.757 0.243
Tl1 0.250 0.250 0.250
Tl2 0.750 0.750 0.750
Co1 0.000 0.000 0.000
Cl1 0.500 0.500 0.500
# formation energy (no corrections)	-419.7	meV per atom
# calculated volume	33.320	A^3/atom
# DFT total energy	-47.4	eV/cell

***

[2]
# BiH2Se GGA-PBE optimized geometry
data_BiH2Se
_cell_length_a 4.073
_cell_length_b 6.482
_cell_length_c 4.107
_cell_angle_alpha 90.00
_cell_angle_beta 90.06
_cell_angle_gamma 90.00
_space_group_name_H-M_alt 'P 1'
_space_group_IT_number 1
loop_
_space_group_symop_operation_xyz
'x,y,z'
loop_
_atom_site_label
_atom_site_fract_x
_atom_site_fract_y
_atom_site_fract_z
Bi1 0.000 0.000 0.000
H1 0.445 0.500 0.935
H2 0.546 0.500 0.089
Se1 0.501 0.000 0.502
# ΔE to the lowest computed polymorph	0	meV/atom
# calculated volume	27.109	A^3/atom
# DFT total energy	-13.9	eV/cell